Material: CrRePt
Method: DFT, PBE
State: relaxed

Computed properties:
- E above lowest polymorph: 0.000 eV/atom
- Magnetization: 0.00 μB per formula unit
- Energy relative to the elements: -0.01 eV/atom
- N(E_F): 0.936 states/eV per atom

a b c (Å): 6.0728 6.0729 2.7123
angles (deg): 77.10 77.10 25.81
Closest atoms and distances in Å follow each position.
Fractional coordinates of all 3 atoms:
Cr1 0.0040 0.0040 0.9960  4 Re 2.61, 4 Pt 2.71, 4 Cr 2.71
Pt1 0.3379 0.3379 0.6621  4 Cr 2.71, 4 Pt 2.71, 4 Re 2.82
Re1 0.6581 0.6581 0.3419  4 Cr 2.61, 4 Re 2.71, 4 Pt 2.82